# PBE-GGA ZnAg6, relaxed
data_ZnAg6
_chemical_formula_sum 'Zn3 Ag18'
_cell_length_a 4.6321
_cell_length_b 4.6321
_cell_length_c 19.8317
_cell_angle_alpha 90.00
_cell_angle_beta 90.00
_cell_angle_gamma 120.00
_space_group_name_H-M_alt 'R -3 m'
_space_group_IT_number 166
_space_group_name_Hall '-R 3 2"'
loop_
_atom_site_label
_atom_site_type_symbol
_atom_site_fract_x
_atom_site_fract_y
_atom_site_fract_z
Zn1 Zn 0.0000 0.0000 0.0000
Ag1 Ag 0.0000 0.0000 0.1406
Ag2 Ag 0.0000 0.0000 0.2879
Ag3 Ag 0.0000 0.0000 0.4291
# Volume = 17.5 Å³ per atom
# Excess energy over the best structure of this formula in the dataset = 0.0000 eV/atom